Entry 1:
{"formula": "CsNdAu2", "functional": "PBE-GGA", "state": "relaxed", "magnetic_moment_mub_per_fu": 0.00, "crystal_system": "tetragonal", "formation_enthalpy_0k_mev_per_atom": -517, "space_group": "P4/mmm", "n_ef_per_ev_cell": 2.48, "lattice": [[-1.825, -3.291, 1.006], [3.304, -1.357, 1.554], [-2.126, 3.492, 7.567]], "species": ["Au", "Au", "Nd", "Cs"], "fractional_positions": [[0.000, 0.000, 0.174], [0.000, 0.000, 0.826], [0.500, 0.500, 0.000], [0.500, 0.500, 0.500]]}


Entry 2:
{"formula": "CsNd2Au2O6", "functional": "PBE-GGA", "state": "relaxed", "magnetic_moment_mub_per_fu": 0.82, "crystal_system": "triclinic", "e_form_raw_ev_per_atom": -1.57, "space_group": "P-1", "n_ef_per_ev_cell": 3.38, "lattice": [[-0.344, 6.635, 0.478], [-1.004, 3.162, 6.399], [6.277, -0.019, -3.336]], "species": ["Nd", "Nd", "Cs", "O", "O", "O", "O", "O", "O", "Au", "Au"], "fractional_positions": [[0.830, 0.353, 0.814], [0.170, 0.647, 0.186], [0.500, 0.000, 0.500], [0.019, 0.554, 0.846], [0.981, 0.446, 0.154], [0.601, 0.405, 0.100], [0.399, 0.595, 0.900], [0.870, 0.110, 0.395], [0.130, 0.890, 0.605], [0.124, 0.713, 0.741], [0.876, 0.287, 0.259]]}